# 1
Tb5Sm6Dy after structural relaxation, computed with GGA-PBE.

Computed properties:
- E above lowest polymorph: 0.0031 eV/atom
- DFT formation energy: 0.0157 eV/atom

a b c (Å): 5.0777 10.1550 15.2388
angles (deg): 90.00 90.00 90.00
Last column: nearest neighbours and their distance in Å.
Space group Immm (No. 71)
Symmetry-distinct sites (fractional):
Tb: 0.0000 0.0000 0.0000  4 Tb 3.59, 8 Sm 3.59
Tb: 0.0000 0.0000 0.3335  8 Sm 3.59, 2 Dy 3.59, 2 Tb 3.59
Tb: 0.0000 0.5000 0.3333  8 Sm 3.59, 4 Tb 3.59
Sm: 0.0000 0.2501 0.1666  7 Tb 3.59, 1 Dy 3.59, 4 Sm 3.59
Sm: 0.0000 0.2498 0.5000  6 Tb 3.59, 2 Dy 3.59, 4 Sm 3.59
Dy: 0.0000 0.5000 0.0000  8 Sm 3.59, 4 Tb 3.59

# 2
RbLi2HfAl after structural relaxation, computed with GGA-PBE.

Computed properties:
- DFT formation energy: 0.6345 eV/atom

a b c (Å): 5.3905 5.3905 5.3845
angles (deg): 90.00 90.00 90.00
Last column: nearest neighbours and their distance in Å.
Space group P4/mmm (No. 123)
Symmetry-distinct sites (fractional):
Rb: 0.0000 0.0000 0.0000  8 Li 3.81, 4 Hf 3.81
Li: 0.0000 0.5000 0.5000  2 Al 2.70
Hf: 0.5000 0.5000 0.0000  2 Al 2.69
Al: 0.5000 0.5000 0.5000  2 Hf 2.69, 4 Li 2.70

# 3
NaTl2Zn after structural relaxation, computed with GGA-PBE.

Computed properties:
- DFT formation energy: 0.0140 eV/atom

a b c (Å): 4.9145 4.9145 15.2545
angles (deg): 90.00 90.00 120.00
Last column: nearest neighbours and their distance in Å.
Space group R-3m (No. 166, hexagonal axes)
Symmetry-distinct sites (fractional):
Na: 0.0000 0.0000 0.0000  8 Tl 3.23-3.54
Tl: 0.0000 0.0000 0.2319  3 Zn 3.01, 3 Na 3.23
Zn: 0.0000 0.0000 0.5000  6 Tl 3.01

# 4
MgMn2Co after structural relaxation, computed with GGA-PBE.

Computed properties:
- E above lowest polymorph: 0.0685 eV/atom
- DFT formation energy: 0.2000 eV/atom

a b c (Å): 2.6369 2.6369 7.4471
angles (deg): 90.00 90.00 90.00
Last column: nearest neighbours and their distance in Å.
Space group P4mm (No. 99)
Symmetry-distinct sites (fractional):
Mg: 0.0000 0.0000 0.0000  4 Mg 2.64, 4 Co 2.71, 4 Mn 2.92
Mn: 0.0000 0.0000 0.5347  4 Co 2.39, 8 Mn 2.55-2.64
Mn: 0.5000 0.5000 0.3014  8 Mn 2.55-2.64
Co: 0.5000 0.5000 0.7353  4 Mn 2.39, 4 Co 2.64

# 5
TmLu2Th after structural relaxation, computed with GGA-PBE.

Computed properties:
- E above lowest polymorph: 0.0880 eV/atom
- DFT formation energy: 0.1136 eV/atom

a b c (Å): 7.8811 7.8811 7.8811
angles (deg): 90.00 90.00 90.00
Last column: nearest neighbours and their distance in Å.
Space group Fm-3m (No. 225)
Symmetry-distinct sites (fractional):
Tm: 0.0000 0.0000 0.0000  8 Lu 3.41
Lu: 0.2500 0.2500 0.2500  4 Th 3.41, 4 Tm 3.41
Th: 0.0000 0.0000 0.5000  8 Lu 3.41

# 6
Ce2Sb3Pd9 after structural relaxation, computed with GGA-PBE.

Computed properties:
- Formation energy without anion corrections: -0.6829 eV/atom

a b c (Å): 13.9463 8.1001 9.3928
angles (deg): 90.00 90.00 90.00
Last column: nearest neighbours and their distance in Å.
Space group Cmcm (No. 63)
Symmetry-distinct sites (fractional):
Ce: 0.1541 0.1726 0.2500  10 Pd 3.06-3.37
Sb: 0.0000 0.0000 0.0000  8 Pd 2.64-2.90
Sb: 0.1778 0.5000 0.0000  8 Pd 2.62-2.85
Pd: 0.0000 0.1476 0.7500  2 Sb 2.64, 6 Pd 2.84-2.89
Pd: 0.0000 0.3310 0.0351  3 Sb 2.70-2.85, 5 Pd 2.82-2.96
Pd: 0.0980 0.4621 0.7500  2 Sb 2.62, 2 Pd 2.73-2.89
Pd: 0.1719 0.1725 0.5890  3 Sb 2.65-2.90, 2 Pd 2.84-2.96